# Sc3RuF (PBE, optimized geometry)
data_Sc3RuF
_chemical_formula_sum 'Sc3 Ru1 F1'
_cell_length_a 4.3846
_cell_length_b 4.3846
_cell_length_c 4.3846
_cell_angle_alpha 90.00
_cell_angle_beta 90.00
_cell_angle_gamma 90.00
_space_group_name_H-M_alt 'P m -3 m'
_space_group_IT_number 221
_space_group_name_Hall '-P 4 2 3'
loop_
_atom_site_label
_atom_site_fract_x
_atom_site_fract_y
_atom_site_fract_z
Sc1 0.0000 0.0000 0.5000
Ru1 0.5000 0.5000 0.5000
F1 0.0000 0.0000 0.0000
# Total energy   -6.943 eV per atom
# Size of the total moment   0.00 Bohr magnetons per cell
# ΔE_f (raw)   -0.91 eV/atom
# Distance to the lowest polymorph of the same formula   0 meV/atom

# Sc3RuF (PBE, optimized geometry)
data_Sc3RuF
_chemical_formula_sum 'Sc3 Ru1 F1'
_cell_length_a 5.0203
_cell_length_b 5.0203
_cell_length_c 5.0203
_cell_angle_alpha 90.00
_cell_angle_beta 90.00
_cell_angle_gamma 90.00
_space_group_name_H-M_alt 'P m -3 m'
_space_group_IT_number 221
_space_group_name_Hall '-P 4 2 3'
loop_
_atom_site_label
_atom_site_fract_x
_atom_site_fract_y
_atom_site_fract_z
Sc1 0.0000 0.0000 0.5000
Ru1 0.0000 0.0000 0.0000
F1 0.5000 0.5000 0.5000
# Total energy   -6.370 eV per atom
# Size of the total moment   0.00 Bohr magnetons per cell
# ΔE_f (raw)   -0.34 eV/atom
# Distance to the lowest polymorph of the same formula   573 meV/atom

# Sc2RuF (PBE, optimized geometry)
data_Sc2RuF
_chemical_formula_sum 'Sc6 Ru3 F3'
_cell_length_a 3.3589
_cell_length_b 3.3589
_cell_length_c 23.1891
_cell_angle_alpha 90.00
_cell_angle_beta 90.00
_cell_angle_gamma 120.00
_space_group_name_H-M_alt 'R -3 m'
_space_group_IT_number 166
_space_group_name_Hall '-R 3 2"'
loop_
_atom_site_label
_atom_site_fract_x
_atom_site_fract_y
_atom_site_fract_z
Sc1 0.0000 0.0000 0.0888
Ru1 0.0000 0.0000 0.5000
F1 0.0000 0.0000 0.0000
# Total energy   -7.300 eV per atom
# Size of the total moment   0.00 Bohr magnetons per cell
# ΔE_f (raw)   -1.35 eV/atom
# Distance to the lowest polymorph of the same formula   0 meV/atom